# 1
# YAgPdPt, optimized geometry, DFT PBE
data_YAgPdPt
_cell_length_a 6.717
_cell_length_b 6.717
_cell_length_c 6.717
_cell_angle_alpha 90.00
_cell_angle_beta 90.00
_cell_angle_gamma 90.00
_symmetry_space_group_name_H-M 'F -4 3 m'
_symmetry_Int_Tables_number 216
_symmetry_space_group_name_Hall 'F -4 2 3'
loop_
_atom_site_label
_atom_site_fract_x
_atom_site_fract_y
_atom_site_fract_z
Y1 0.000 0.000 0.000
Ag1 0.000 0.000 0.500
Pd1 0.250 0.250 0.750
Pt1 0.250 0.250 0.250
# Excess energy over the best structure of this formula in the dataset (eV per atom): 0.070
# Theoretical density (g/cm³): 10.92

---

# 2
# BaRhWBr2, optimized geometry, DFT PBE
data_BaRhWBr2
_cell_length_a 5.158
_cell_length_b 5.158
_cell_length_c 5.772
_cell_angle_alpha 90.00
_cell_angle_beta 90.00
_cell_angle_gamma 90.00
_symmetry_space_group_name_H-M 'P 4/m m m'
_symmetry_Int_Tables_number 123
_symmetry_space_group_name_Hall '-P 4 2'
loop_
_atom_site_label
_atom_site_fract_x
_atom_site_fract_y
_atom_site_fract_z
Ba1 0.000 0.000 0.000
Rh1 0.000 0.000 0.500
W1 0.500 0.500 0.000
Br1 0.000 0.500 0.500
# Energy relative to the elements, uncorrected (eV per atom): 0.899
# Theoretical density (g/cm³): 6.31